(1)
DFT (meta-GGA SCAN) results for P2Au at its PBEsol-relaxed geometry.

The structure in extended XYZ format:
```
3
Lattice="3.1030 -1.6540 0.0000 3.1030 1.6540 0.0000 -0.6523 0.0000 4.7968" Properties=species:S:1:pos:R:3 pbc="T T T"
P 0.6029 0.0000 1.7569
P 4.9507 0.0000 3.0400
Au 3.1030 0.0000 0.0000
```

Space-group type: C2/m (12)
VASP energy: -29.912 eV per atom
V: 16.41 A^3/atom
E_form: 7.0 kJ per mole of atoms

***

(2)
DFT (meta-GGA SCAN) results for RbLaGaIr2 at its PBEsol-relaxed geometry.

The structure in extended XYZ format:
```
5
Lattice="4.7155 0.0000 0.0000 0.0000 4.7155 0.0000 0.0000 0.0000 5.3847" Properties=species:S:1:pos:R:3 pbc="T T T"
Rb 0.0000 0.0000 0.0000
La 2.3577 2.3577 0.0000
Ga 2.3577 2.3577 2.6923
Ir 0.0000 2.3577 2.6923
Ir 2.3577 0.0000 2.6923
```

Space-group type: P4/mmm (123)
VASP energy: -43.932 eV per atom
V: 23.95 A^3/atom
E_form: 52.7 kJ per mole of atoms

***

(3)
DFT (meta-GGA SCAN) results for MgTiBe3 at its PBEsol-relaxed geometry.

The structure in extended XYZ format:
```
5
Lattice="4.1355 0.0000 0.0000 0.0000 4.1355 0.0000 0.0000 0.0000 4.1355" Properties=species:S:1:pos:R:3 pbc="T T T"
Mg 0.0000 0.0000 0.0000
Ti 2.0677 2.0677 2.0677
Be 0.0000 0.0000 2.0677
Be 0.0000 2.0677 0.0000
Be 2.0677 0.0000 0.0000
```

Space-group type: Pm-3m (221)
VASP energy: -5.604 eV per atom
V: 14.14 A^3/atom
E_form: 116.6 kJ per mole of atoms

***

(4)
DFT (meta-GGA SCAN) results for CuPF2 at its PBEsol-relaxed geometry.

The structure in extended XYZ format:
```
4
Lattice="0.0000 2.8320 2.8320 2.8320 0.0000 2.8320 2.8320 2.8320 0.0000" Properties=species:S:1:pos:R:3 pbc="T T T"
Cu 0.0000 0.0000 0.0000
P 2.8320 2.8320 2.8320
F 1.4160 1.4160 1.4160
F 4.2480 4.2480 4.2480
```

Space-group type: Fm-3m (225)
VASP energy: -8.330 eV per atom
Energy relative to the elements, uncorrected: -0.16 eV/atom
V: 11.36 A^3/atom

***

(5)
DFT (meta-GGA SCAN) results for CdNiIrAu2 at its PBEsol-relaxed geometry.

The structure in extended XYZ format:
```
5
Lattice="5.0011 0.0000 0.0000 0.0000 5.0011 0.0000 0.0000 0.0000 4.3848" Properties=species:S:1:pos:R:3 pbc="T T T"
Cd 0.0000 0.0000 0.0000
Ni 2.5005 2.5005 0.0000
Ir 2.5005 2.5005 2.1924
Au 0.0000 2.5005 2.1924
Au 2.5005 0.0000 2.1924
```

Space-group type: P4/mmm (123)
VASP energy: -50.248 eV per atom
V: 21.93 A^3/atom
E_form: 91.9 kJ per mole of atoms

***

(6)
DFT (meta-GGA SCAN) results for MgTe2H at its PBEsol-relaxed geometry.

The structure in extended XYZ format:
```
4
Lattice="2.2074 1.2745 6.6335 -2.2074 1.2745 6.6335 0.0000 -2.5489 6.6335" Properties=species:S:1:pos:R:3 pbc="T T T"
Mg 0.0000 0.0000 0.0000
Te 0.0000 0.0000 8.0343
Te 0.0000 0.0000 11.8661
H 0.0000 0.0000 9.9502
```

Space-group type: R-3m (166)
VASP energy: -20.898 eV per atom
V: 27.99 A^3/atom

***

(7)
DFT (meta-GGA SCAN) results for Ca3B6H16O20 at its PBEsol-relaxed geometry.

The structure in extended XYZ format:
```
90
Lattice="6.4585 -4.7080 0.0000 6.4585 4.7080 0.0000 -6.3755 0.0000 11.6386" Properties=species:S:1:pos:R:3 pbc="T T T"
Ca 3.9183 0.8923 0.7980
Ca 1.6768 2.3802 8.7289
Ca 0.7306 -0.8923 6.6173
Ca 5.8108 0.8923 5.0213
Ca 4.8646 -2.3802 2.9096
Ca 2.6231 -0.8923 10.8406
B -2.2606 1.4819 9.6489
B -0.8692 1.4121 7.5771
B -0.1155 0.2135 9.7984
B 0.9272 -1.4819 3.8296
B 2.3186 -1.4121 1.7578
B 3.0722 -0.2135 3.9791
B 3.4692 0.2135 7.6595
B 4.2228 1.4121 9.8808
B 5.6143 1.4819 7.8090
B 6.6569 -0.2135 1.8402
B 7.4106 -1.4121 4.0615
B 8.8020 -1.4819 1.9897
H 2.2661 4.2309 6.5075
H -4.2512 0.7698 9.8789
H -0.8726 3.0347 10.1348
H -3.1732 0.2945 7.6149
H -0.4810 1.4179 5.5387
H 1.0875 4.2309 10.9504
H 0.0145 -0.2945 1.7956
H 0.9417 1.1277 4.1540
H -1.0635 -0.7698 4.0596
H 3.0909 1.9277 3.9160
H 4.2262 3.0347 7.3231
H 2.9071 1.2612 5.9671
H -3.6687 -1.4179 11.3580
H -2.2460 -1.1277 9.9733
H 0.4466 1.2612 11.4908
H 6.6383 1.9277 1.9033
H -0.0969 -1.9277 9.7353
H 6.0948 -1.2612 0.1478
H 8.7874 1.1277 1.6653
H 10.2102 1.4179 0.2806
H 3.6343 -1.2612 5.6715
H 2.3152 -3.0347 4.3155
H 3.4505 -1.9277 7.7226
H 7.6049 0.7698 7.5790
H 5.5997 -1.1277 7.4846
H 6.5269 0.2945 9.8430
H 5.4539 -4.2309 0.6882
H 7.0224 -1.4179 6.0999
H 9.7146 -0.2945 4.0237
H 7.4140 -3.0347 1.5038
H 10.7926 -0.7698 1.7597
H 4.2753 -4.2309 5.1311
O -0.2492 2.7677 7.4833
O -1.8006 2.7366 10.2645
O 3.7211 3.2206 1.4779
O -2.2069 1.4616 8.1754
O 0.7154 4.2320 10.0147
O 2.6383 4.2320 7.4432
O -0.9344 0.8334 6.2204
O 2.2533 -0.8334 0.4011
O -1.5293 0.3202 10.2007
O 0.0574 0.5612 8.3716
O 6.0081 3.2206 4.3414
O 0.9808 -1.4616 2.3561
O 3.5808 1.1319 4.3078
O 1.6584 -0.3202 4.3814
O 2.5843 1.1493 6.9041
O 0.7694 1.1493 10.5538
O 3.6028 2.7677 9.9746
O 5.1543 2.7366 7.1934
O 3.2452 -0.5612 2.5523
O 6.1484 1.1319 1.5115
O 0.3930 -1.1319 10.1271
O 3.2962 0.5612 9.0863
O 1.3871 -2.7366 4.4452
O 2.9386 -2.7677 1.6640
O 5.7721 -1.1493 1.0848
O 3.9571 -1.1493 4.7345
O 4.8830 0.3202 7.2572
O 2.9607 -1.1319 7.3308
O 5.5606 1.4616 9.2825
O 0.5333 -3.2206 7.2972
O 6.4840 -0.5612 3.2670
O 8.0708 -0.3202 1.4379
O 4.2881 0.8334 11.2375
O 7.4759 -0.8334 5.4182
O 3.9031 -4.2320 4.1954
O 5.8260 -4.2320 1.6239
O 8.7483 -1.4616 3.4632
O 2.8204 -3.2206 10.1607
O 8.3420 -2.7366 1.3741
O 6.7906 -2.7677 4.1553
```

Space-group type: C2/c (15)
VASP energy: -7.595 eV per atom
V: 7.86 A^3/atom

***

(8)
DFT (meta-GGA SCAN) results for BaP8 at its PBEsol-relaxed geometry.

The structure in extended XYZ format:
```
18
Lattice="6.7185 0.0000 0.0000 2.4174 6.7596 0.0000 0.8463 0.2973 8.4413" Properties=species:S:1:pos:R:3 pbc="T T T"
Ba 2.2693 1.1887 2.6883
Ba 7.7130 5.8682 5.7529
P 2.3669 5.6682 1.7394
P 3.2089 5.1750 8.1089
P 2.1782 2.7804 5.6268
P 4.7272 6.4919 7.1553
P 4.2941 5.7480 5.1153
P 3.4996 3.0080 0.0054
P 4.1605 2.3105 6.4051
P 4.6638 3.2334 3.2095
P 5.3185 3.8234 5.2318
P 5.8218 4.7463 2.0362
P 6.4827 4.0489 8.4359
P 5.6882 1.3089 3.3260
P 5.2550 0.5650 1.2860
P 7.8041 4.2765 2.8145
P 6.7734 1.8818 0.3324
P 7.6154 1.3887 6.7019
```

Space-group type: P-1 (2)
VASP energy: -14.017 eV per atom
V: 21.30 A^3/atom
E_form: -36.6 kJ per mole of atoms

***

(9)
DFT (meta-GGA SCAN) results for Zr2ZnN at its PBEsol-relaxed geometry.

The structure in extended XYZ format:
```
4
Lattice="0.0000 3.1080 3.1080 3.1080 0.0000 3.1080 3.1080 3.1080 0.0000" Properties=species:S:1:pos:R:3 pbc="T T T"
Zr 1.5540 1.5540 1.5540
Zr 4.6621 4.6621 4.6621
Zn 0.0000 0.0000 0.0000
N 3.1080 3.1080 3.1080
```

Space-group type: Fm-3m (225)
VASP energy: -20.879 eV per atom
Energy relative to the elements, uncorrected: 0.17 eV/atom
V: 15.01 A^3/atom

***

(10)
DFT (meta-GGA SCAN) results for CdReNi2 at its PBEsol-relaxed geometry.

The structure in extended XYZ format:
```
4
Lattice="2.9204 -3.4521 0.0000 2.9204 3.4521 0.0000 0.0000 0.0000 2.6438" Properties=species:S:1:pos:R:3 pbc="T T T"
Cd 0.0000 0.0000 0.0000
Re 2.9204 0.0000 0.0000
Ni 1.4602 1.7260 1.3219
Ni 1.4602 -1.7260 1.3219
```

Space-group type: Cmmm (65)
VASP energy: -33.182 eV per atom
V: 13.33 A^3/atom
E_form: 27.3 kJ per mole of atoms

***

(11)
DFT (meta-GGA SCAN) results for Fe13Co3 at its PBEsol-relaxed geometry.

The structure in extended XYZ format:
```
16
Lattice="5.5893 0.0000 0.0000 0.0000 5.5893 0.0000 0.0000 0.0000 5.5813" Properties=species:S:1:pos:R:3 pbc="T T T"
Fe 0.0000 0.0000 0.0000
Fe 0.0000 2.7946 0.0000
Fe 0.0000 2.7946 2.7907
Fe 1.3981 1.3981 1.3972
Fe 1.3981 1.3981 4.1841
Fe 1.3981 4.1911 1.3972
Fe 1.3981 4.1911 4.1841
Fe 2.7946 0.0000 0.0000
Fe 2.7946 0.0000 2.7907
Fe 4.1911 1.3981 1.3972
Fe 4.1911 1.3981 4.1841
Fe 4.1911 4.1911 1.3972
Fe 4.1911 4.1911 4.1841
Co 0.0000 0.0000 2.7907
Co 2.7946 2.7946 0.0000
Co 2.7946 2.7946 2.7907
```

Space-group type: P4/mmm (123)
VASP energy: -18.086 eV per atom
V: 10.90 A^3/atom
E_form: -10.7 kJ per mole of atoms

***

(12)
DFT (meta-GGA SCAN) results for RbNbH2 at its PBEsol-relaxed geometry.

The structure in extended XYZ format:
```
4
Lattice="0.0000 3.1923 3.1923 3.1923 0.0000 3.1923 3.1923 3.1923 0.0000" Properties=species:S:1:pos:R:3 pbc="T T T"
Rb 0.0000 0.0000 0.0000
Nb 3.1923 3.1923 3.1923
H 1.5962 1.5962 1.5962
H 4.7885 4.7885 4.7885
```

Space-group type: Fm-3m (225)
VASP energy: -14.016 eV per atom
V: 16.27 A^3/atom

***

(13)
DFT (meta-GGA SCAN) results for ZnP2Ru at its PBEsol-relaxed geometry.

The structure in extended XYZ format:
```
4
Lattice="0.0000 2.9831 2.9831 2.9831 0.0000 2.9831 2.9831 2.9831 0.0000" Properties=species:S:1:pos:R:3 pbc="T T T"
Zn 0.0000 0.0000 0.0000
P 1.4915 1.4915 1.4915
P 2.9831 2.9831 2.9831
Ru 4.4746 4.4746 4.4746
```

Space-group type: F-43m (216)
VASP energy: -16.773 eV per atom
V: 13.27 A^3/atom
E_form: 49.4 kJ per mole of atoms

***

(14)
DFT (meta-GGA SCAN) results for Ba4YCu3O9 at its PBEsol-relaxed geometry.

The structure in extended XYZ format:
```
34
Lattice="8.0287 0.0000 0.0000 0.0000 8.0287 0.0000 0.0000 0.0000 8.0287" Properties=species:S:1:pos:R:3 pbc="T T T"
Ba 2.0072 2.0072 2.0072
Ba 2.0072 2.0072 6.0215
Ba 2.0072 6.0215 2.0072
Ba 2.0072 6.0215 6.0215
Ba 6.0215 2.0072 2.0072
Ba 6.0215 2.0072 6.0215
Ba 6.0215 6.0215 2.0072
Ba 6.0215 6.0215 6.0215
Y 0.0000 0.0000 0.0000
Y 4.0143 4.0143 4.0143
Cu 0.0000 0.0000 4.0143
Cu 0.0000 4.0143 0.0000
Cu 0.0000 4.0143 4.0143
Cu 4.0143 0.0000 0.0000
Cu 4.0143 0.0000 4.0143
Cu 4.0143 4.0143 0.0000
O 0.0000 0.0000 2.1937
O 0.0000 0.0000 5.8349
O 0.0000 2.0072 4.0143
O 0.0000 2.1937 0.0000
O 0.0000 5.8349 0.0000
O 0.0000 6.0215 4.0143
O 1.8206 4.0143 4.0143
O 2.0072 4.0143 0.0000
O 2.1937 0.0000 0.0000
O 4.0143 0.0000 2.0072
O 4.0143 0.0000 6.0215
O 4.0143 1.8206 4.0143
O 4.0143 4.0143 1.8206
O 4.0143 4.0143 6.2080
O 4.0143 6.2080 4.0143
O 5.8349 0.0000 0.0000
O 6.0215 4.0143 0.0000
O 6.2080 4.0143 4.0143
```

Space-group type: Pm-3n (223)
VASP energy: -19.203 eV per atom
Energy relative to the elements, uncorrected: -2.28 eV/atom
V: 15.22 A^3/atom

***

(15)
DFT (meta-GGA SCAN) results for MnTc2Os at its PBEsol-relaxed geometry.

The structure in extended XYZ format:
```
4
Lattice="0.0000 3.0097 3.0097 3.0097 0.0000 3.0097 3.0097 3.0097 0.0000" Properties=species:S:1:pos:R:3 pbc="T T T"
Mn 0.0000 0.0000 0.0000
Tc 1.5048 1.5048 1.5048
Tc 3.0097 3.0097 3.0097
Os 4.5145 4.5145 4.5145
```

Space-group type: F-43m (216)
VASP energy: -40.020 eV per atom
V: 13.63 A^3/atom
E_form: 4.2 kJ per mole of atoms

***

(16)
DFT (meta-GGA SCAN) results for Cd2HgI2 at its PBEsol-relaxed geometry.

The structure in extended XYZ format:
```
5
Lattice="-2.8510 2.8510 5.7169 2.8510 -2.8510 5.7169 2.8510 2.8510 -5.7169" Properties=species:S:1:pos:R:3 pbc="T T T"
Cd 2.8510 0.0000 2.8584
Cd 0.0000 2.8510 2.8584
Hg 0.0000 0.0000 0.0000
I 0.0000 0.0000 3.8372
I 0.0000 0.0000 7.5965
```

Space-group type: I4/mmm (139)
VASP energy: -40.493 eV per atom
Energy relative to the elements, uncorrected: 0.00 eV/atom
V: 37.17 A^3/atom

***

(17)
DFT (meta-GGA SCAN) results for NaMnOF2 at its PBEsol-relaxed geometry.

The structure in extended XYZ format:
```
5
Lattice="3.9962 0.0000 0.0000 0.0000 3.9962 0.0000 0.0000 0.0000 3.6902" Properties=species:S:1:pos:R:3 pbc="T T T"
Na 0.0000 0.0000 0.0000
Mn 1.9981 1.9981 1.8451
O 1.9981 1.9981 0.0000
F 0.0000 1.9981 1.8451
F 1.9981 0.0000 1.8451
```

Space-group type: P4/mmm (123)
VASP energy: -9.691 eV per atom
Energy relative to the elements, uncorrected: -2.54 eV/atom
V: 11.79 A^3/atom

***

(18)
DFT (meta-GGA SCAN) results for MnGeAs3 at its PBEsol-relaxed geometry.

The structure in extended XYZ format:
```
5
Lattice="4.8359 0.0000 0.0000 0.0000 4.8359 0.0000 0.0000 0.0000 4.8359" Properties=species:S:1:pos:R:3 pbc="T T T"
Mn 0.0000 0.0000 0.0000
Ge 2.4180 2.4180 2.4180
As 0.0000 2.4180 2.4180
As 2.4180 0.0000 2.4180
As 2.4180 2.4180 0.0000
```

Space-group type: Pm-3m (221)
VASP energy: -18.750 eV per atom
V: 22.62 A^3/atom
E_form: 80.4 kJ per mole of atoms

***

(19)
DFT (meta-GGA SCAN) results for NaTeRu3 at its PBEsol-relaxed geometry.

The structure in extended XYZ format:
```
5
Lattice="4.8124 0.0000 0.0000 0.0000 4.8124 0.0000 0.0000 0.0000 4.8124" Properties=species:S:1:pos:R:3 pbc="T T T"
Na 0.0000 0.0000 0.0000
Te 2.4062 2.4062 2.4062
Ru 0.0000 2.4062 2.4062
Ru 2.4062 0.0000 2.4062
Ru 2.4062 2.4062 0.0000
```

Space-group type: Pm-3m (221)
VASP energy: -27.882 eV per atom
Energy relative to the elements, uncorrected: 1.31 eV/atom
V: 22.29 A^3/atom

***

(20)
DFT (meta-GGA SCAN) results for CuMo2Os at its PBEsol-relaxed geometry.

The structure in extended XYZ format:
```
4
Lattice="2.7610 0.0000 0.0000 0.0000 3.7864 0.0000 0.0000 0.0000 5.4149" Properties=species:S:1:pos:R:3 pbc="T T T"
Cu 0.0000 0.0000 0.0000
Mo 0.0000 0.0000 2.7832
Mo 1.3805 1.8932 1.2632
Os 1.3805 1.8932 4.0789
```

Space-group type: Pmm2 (25)
VASP energy: -38.961 eV per atom
V: 14.15 A^3/atom
E_form: 24.2 kJ per mole of atoms

***

(21)
DFT (meta-GGA SCAN) results for Na2SrSb2 at its PBEsol-relaxed geometry.

The structure in extended XYZ format:
```
5
Lattice="-2.3625 2.3625 6.8326 2.3625 -2.3625 6.8326 2.3625 2.3625 -6.8326" Properties=species:S:1:pos:R:3 pbc="T T T"
Na 2.3625 0.0000 3.4163
Na 0.0000 2.3625 3.4163
Sr 0.0000 0.0000 0.0000
Sb 0.0000 0.0000 5.4139
Sb 0.0000 0.0000 8.2513
```

Space-group type: I4/mmm (139)
VASP energy: -21.686 eV per atom
Energy relative to the elements, uncorrected: -0.64 eV/atom
V: 30.51 A^3/atom